Entry 1:
## Pr5NdHg6 (PBE)

Data for a relaxed Pr5NdHg6 crystal. Values from VASP.

```
&SYSTEM
  ibrav = 0, nat = 12, ntyp = 3
/
ATOMIC_SPECIES
Nd 144.24 Nd.upf
Hg 200.59 Hg.upf
Pr 140.91 Pr.upf
ATOMIC_POSITIONS angstrom
Nd 0.000 0.000 0.000
Hg -0.974 -4.790 4.169
Hg -0.225 -1.317 8.329
Pr -2.217 1.373 2.841
Pr 1.076 -2.948 2.264
Hg -1.305 1.645 6.055
Pr -1.140 -1.572 5.110
Hg -3.194 -3.423 6.997
Pr -3.359 -0.207 7.942
Hg -4.275 -0.461 4.723
Hg -2.057 -1.822 1.890
Pr -4.434 2.746 5.683
CELL_PARAMETERS angstrom
-5.183 -0.715 1.531
2.151 -5.897 4.528
-1.468 4.834 6.993
```

Summary:
As for the space group: No. 65.

***

Entry 2:
## Pr2NdHg4 (PBE)

Data for a relaxed Pr2NdHg4 crystal. Values from VASP.

```
&SYSTEM
  ibrav = 0, nat = 7, ntyp = 3
/
ATOMIC_SPECIES
Pr 140.91 Pr.upf
Nd 144.24 Nd.upf
Hg 200.59 Hg.upf
ATOMIC_POSITIONS angstrom
Pr -2.590 1.293 10.864
Nd 0.000 0.000 0.000
Hg -3.169 -1.282 9.103
Hg -2.328 -1.809 5.416
Pr -0.818 0.631 3.758
Hg -1.080 3.733 9.206
Hg -0.238 3.206 5.519
CELL_PARAMETERS angstrom
-4.236 -1.046 2.924
0.440 -3.022 4.274
0.389 5.992 7.424
```

Summary:
The energy above the most stable polymorph in this dataset comes out at 0 meV per atom. As for the space group: No. 166.

***

Entry 3:
## Pr2Nd4Hg5 (PBE)

Data for a relaxed Pr2Nd4Hg5 crystal. Values from VASP.

```
&SYSTEM
  ibrav = 0, nat = 22, ntyp = 3
/
ATOMIC_SPECIES
Nd 144.24 Nd.upf
Hg 200.59 Hg.upf
Pr 140.91 Pr.upf
ATOMIC_POSITIONS angstrom
Nd -5.635 3.605 -4.104
Hg -10.307 8.309 -4.547
Hg -11.495 4.843 -2.592
Hg -8.172 3.832 -2.061
Nd -14.091 8.968 -7.019
Hg -6.604 6.742 -3.707
Hg -4.426 1.029 -0.530
Nd -10.515 1.742 -3.009
Nd -17.675 8.070 -6.479
Pr -7.048 0.677 -2.449
Nd -9.187 5.106 -4.907
Hg -3.229 -2.404 1.381
Hg -15.241 7.646 -4.123
Hg -6.770 -3.299 1.919
Hg -9.360 0.366 -0.107
Pr -10.553 9.727 -7.481
Nd -2.027 -1.222 -1.437
Hg -12.897 11.973 -6.572
Pr -9.148 -2.879 -0.435
Nd -14.067 3.242 -3.812
Pr -12.653 6.170 -5.467
Nd -5.610 -2.120 -0.897
CELL_PARAMETERS angstrom
-0.034 -1.828 -3.263
-6.458 -4.808 2.761
-13.209 13.483 -7.414
```

Summary:
As for the space group: No. 55.

***

Entry 4:
## PrNdHg4 (PBE)

Data for a relaxed PrNdHg4 crystal. Values from VASP.

```
&SYSTEM
  ibrav = 0, nat = 6, ntyp = 3
/
ATOMIC_SPECIES
Nd 144.24 Nd.upf
Hg 200.59 Hg.upf
Pr 140.91 Pr.upf
ATOMIC_POSITIONS angstrom
Nd -2.427 -9.213 -2.047
Hg -0.354 -3.482 -2.362
Hg 1.208 -2.694 -4.720
Hg -0.671 -6.332 -1.713
Pr -0.551 -5.589 -5.052
Hg 0.578 -8.360 -3.430
CELL_PARAMETERS angstrom
-2.887 -0.123 -1.953
2.810 -1.240 -4.075
-0.944 -8.489 1.933
```

Summary:
The energy above the most stable polymorph in this dataset comes out at 0 meV per atom. As for the space group: No. 47.

***

no.,ΔE_f (meV per atom),total magnetization (μB/cell)
1,-473,2.8
2,-337,0.0
3,-388,1.9
4,-434,0.4